No. 1
This record from the Alexandria database describes a relaxed KLaZrTiO6 crystal. The functional is PBE.

Cell and atoms, written as CIF:
```
data_KLaZrTiO6
_chemical_formula_sum 'K4 La4 Zr4 Ti4 O24'
_space_group_name_H-M_alt 'F -4 3 m'
_space_group_IT_number 216
_space_group_name_Hall 'F -4 2 3'
_cell_length_a 8.1125
_cell_length_b 8.1125
_cell_length_c 8.1125
_cell_angle_alpha 90.00
_cell_angle_beta 90.00
_cell_angle_gamma 90.00
loop_
_atom_site_label
_atom_site_type_symbol
_atom_site_fract_x
_atom_site_fract_y
_atom_site_fract_z
K1 K 0.0000 0.0000 0.0000
La1 La 0.0000 0.0000 0.5000
Zr1 Zr 0.2500 0.2500 0.2500
Ti1 Ti 0.2500 0.2500 0.7500
O1 O 0.0079 0.2500 0.7500
```

Properties
Volume (A^3/atom): 13.35
ρ (Mg/m³): 5.1
ΔE_f (raw) (eV per atom): -3.005
Total energy (eV per atom): -8.226

***

No. 2
This record from the Alexandria database describes a relaxed MgSb2Pb2 crystal. The functional is PBE.

Cell and atoms, written as CIF:
```
data_MgSb2Pb2
_chemical_formula_sum 'Mg2 Sb4 Pb4'
_space_group_name_H-M_alt 'P 4/m b m'
_space_group_IT_number 127
_space_group_name_Hall '-P 4 2ab'
_cell_length_a 8.0567
_cell_length_b 8.0567
_cell_length_c 4.6970
_cell_angle_alpha 90.00
_cell_angle_beta 90.00
_cell_angle_gamma 90.00
loop_
_atom_site_label
_atom_site_type_symbol
_atom_site_fract_x
_atom_site_fract_y
_atom_site_fract_z
Mg1 Mg 0.0000 0.0000 0.0000
Sb1 Sb 0.1645 0.3355 0.0000
Pb1 Pb 0.1476 0.6476 0.5000
```

Properties
Volume (A^3/atom): 30.49
ρ (Mg/m³): 7.4
ΔE_f (raw) (eV per atom): 0.029
Total energy (eV per atom): -3.422
Relative energy among the computed polymorphs (meV/atom): 149

***

No. 3
This record from the Alexandria database describes a relaxed TcHgMo2 crystal. The functional is PBE.

Cell and atoms, written as CIF:
```
data_TcHgMo2
_chemical_formula_sum 'Tc1 Hg1 Mo2'
_space_group_name_H-M_alt 'P 4/m m m'
_space_group_IT_number 123
_space_group_name_Hall '-P 4 2'
_cell_length_a 2.8718
_cell_length_b 2.8718
_cell_length_c 8.1515
_cell_angle_alpha 90.00
_cell_angle_beta 90.00
_cell_angle_gamma 90.00
loop_
_atom_site_label
_atom_site_type_symbol
_atom_site_fract_x
_atom_site_fract_y
_atom_site_fract_z
Tc1 Tc 0.0000 0.0000 0.0000
Hg1 Hg 0.0000 0.0000 0.5000
Mo1 Mo 0.5000 0.5000 0.2198
```

Properties
Volume (A^3/atom): 16.81
ρ (Mg/m³): 12.1
Total energy (eV per atom): -7.724

***

No. 4
This record from the Alexandria database describes a relaxed VFe2Rh5 crystal. The functional is PBE.

Cell and atoms, written as CIF:
```
data_VFe2Rh5
_chemical_formula_sum 'V2 Fe4 Rh10'
_space_group_name_H-M_alt 'P b a m'
_space_group_IT_number 55
_space_group_name_Hall '-P 2 2ab'
_cell_length_a 5.3332
_cell_length_b 10.6208
_cell_length_c 3.8440
_cell_angle_alpha 90.00
_cell_angle_beta 90.00
_cell_angle_gamma 90.00
loop_
_atom_site_label
_atom_site_type_symbol
_atom_site_fract_x
_atom_site_fract_y
_atom_site_fract_z
V1 V 0.0000 0.0000 0.0000
Fe1 Fe 0.2341 0.3732 0.5000
Rh1 Rh 0.0000 0.5000 0.0000
Rh2 Rh 0.0214 0.7557 0.0000
Rh3 Rh 0.2300 0.1192 0.5000
```

Properties
Volume (A^3/atom): 13.61
ρ (Mg/m³): 10.3
Total energy (eV per atom): -8.004

***

No. 5
This record from the Alexandria database describes a relaxed TbNd2Hg2Pb2 crystal. The functional is PBE.

Cell and atoms, written as CIF:
```
data_TbNd2Hg2Pb2
_chemical_formula_sum 'Tb3 Nd6 Hg6 Pb6'
_space_group_name_H-M_alt 'R -3 m'
_space_group_IT_number 166
_space_group_name_Hall '-R 3 2"'
_cell_length_a 5.1125
_cell_length_b 5.1125
_cell_length_c 27.4415
_cell_angle_alpha 90.00
_cell_angle_beta 90.00
_cell_angle_gamma 120.00
loop_
_atom_site_label
_atom_site_type_symbol
_atom_site_fract_x
_atom_site_fract_y
_atom_site_fract_z
Tb1 Tb 0.0000 0.0000 0.0000
Nd1 Nd 0.0000 0.0000 0.1299
Hg1 Hg 0.0000 0.0000 0.4308
Pb1 Pb 0.0000 0.0000 0.2766
```

Properties
Volume (A^3/atom): 29.58
ρ (Mg/m³): 10.1
Total energy (eV per atom): -3.409

***

No. 6
This record from the Alexandria database describes a relaxed PC3F crystal. The functional is PBE.

Cell and atoms, written as CIF:
```
data_PC3F
_chemical_formula_sum 'P1 C3 F1'
_space_group_name_H-M_alt 'P m -3 m'
_space_group_IT_number 221
_space_group_name_Hall '-P 4 2 3'
_cell_length_a 3.5978
_cell_length_b 3.5978
_cell_length_c 3.5978
_cell_angle_alpha 90.00
_cell_angle_beta 90.00
_cell_angle_gamma 90.00
loop_
_atom_site_label
_atom_site_type_symbol
_atom_site_fract_x
_atom_site_fract_y
_atom_site_fract_z
P1 P 0.0000 0.0000 0.0000
C1 C 0.0000 0.0000 0.5000
F1 F 0.5000 0.5000 0.5000
```

Properties
Volume (A^3/atom): 9.31
ρ (Mg/m³): 3.1
ΔE_f (raw) (eV per atom): 2.007
Total energy (eV per atom): -4.984
Relative energy among the computed polymorphs (meV/atom): 0

***

No. 7
This record from the Alexandria database describes a relaxed PrZn7Ni5 crystal. The functional is PBE.

Cell and atoms, written as CIF:
```
data_PrZn7Ni5
_chemical_formula_sum 'Pr2 Zn14 Ni10'
_space_group_name_H-M_alt 'I m m 2'
_space_group_IT_number 44
_space_group_name_Hall 'I 2 -2'
_cell_length_a 5.0392
_cell_length_b 8.6202
_cell_length_c 8.5745
_cell_angle_alpha 90.00
_cell_angle_beta 90.00
_cell_angle_gamma 90.00
loop_
_atom_site_label
_atom_site_type_symbol
_atom_site_fract_x
_atom_site_fract_y
_atom_site_fract_z
Pr1 Pr 0.0000 0.0000 0.0000
Zn1 Zn 0.0000 0.0000 0.3382
Zn2 Zn 0.0000 0.0000 0.6473
Zn3 Zn 0.0000 0.2820 0.4880
Zn4 Zn 0.0000 0.3491 0.9743
Zn5 Zn 0.0000 0.5000 0.2555
Ni1 Ni 0.0000 0.5000 0.7122
Ni2 Ni 0.2487 0.2500 0.2345
```

Properties
Volume (A^3/atom): 14.33
ρ (Mg/m³): 8.0
Total energy (eV per atom): -3.552

***

No. 8
This record from the Alexandria database describes a relaxed LiCa2P2 crystal. The functional is PBE.

Cell and atoms, written as CIF:
```
data_LiCa2P2
_chemical_formula_sum 'Li2 Ca4 P4'
_space_group_name_H-M_alt 'P 4/m b m'
_space_group_IT_number 127
_space_group_name_Hall '-P 4 2ab'
_cell_length_a 8.0469
_cell_length_b 8.0469
_cell_length_c 3.4841
_cell_angle_alpha 90.00
_cell_angle_beta 90.00
_cell_angle_gamma 90.00
loop_
_atom_site_label
_atom_site_type_symbol
_atom_site_fract_x
_atom_site_fract_y
_atom_site_fract_z
Li1 Li 0.0000 0.0000 0.0000
Ca1 Ca 0.1386 0.3614 0.5000
P1 P 0.1659 0.6659 0.0000
```

Properties
Volume (A^3/atom): 22.56
ρ (Mg/m³): 2.2
Total energy (eV per atom): -4.125
Relative energy among the computed polymorphs (meV/atom): 0

***

No. 9
This record from the Alexandria database describes a relaxed Y2Ho2Er3 crystal. The functional is PBE.

Cell and atoms, written as CIF:
```
data_Y2Ho2Er3
_chemical_formula_sum 'Y4 Ho4 Er6'
_space_group_name_H-M_alt 'I m m m'
_space_group_IT_number 71
_space_group_name_Hall '-I 2 2'
_cell_length_a 3.5070
_cell_length_b 5.4297
_cell_length_c 23.1047
_cell_angle_alpha 90.00
_cell_angle_beta 90.00
_cell_angle_gamma 90.00
loop_
_atom_site_label
_atom_site_type_symbol
_atom_site_fract_x
_atom_site_fract_y
_atom_site_fract_z
Y1 Y 0.0000 0.0000 0.1419
Ho1 Ho 0.0000 0.0000 0.4212
Er1 Er 0.0000 0.0000 0.0000
Er2 Er 0.0000 0.5000 0.2244
```

Properties
Volume (A^3/atom): 31.43
ρ (Mg/m³): 7.6
Total energy (eV per atom): -5.059
Relative energy among the computed polymorphs (meV/atom): 27

***

No. 10
This record from the Alexandria database describes a relaxed EuClF2 crystal. The functional is PBE.

Cell and atoms, written as CIF:
```
data_EuClF2
_chemical_formula_sum 'Eu3 Cl3 F6'
_space_group_name_H-M_alt 'R -3 m'
_space_group_IT_number 166
_space_group_name_Hall '-R 3 2"'
_cell_length_a 3.9949
_cell_length_b 3.9949
_cell_length_c 15.7709
_cell_angle_alpha 90.00
_cell_angle_beta 90.00
_cell_angle_gamma 120.00
loop_
_atom_site_label
_atom_site_type_symbol
_atom_site_fract_x
_atom_site_fract_y
_atom_site_fract_z
Eu1 Eu 0.0000 0.0000 0.0000
Cl1 Cl 0.0000 0.0000 0.5000
F1 F 0.0000 0.0000 0.2956
```

Properties
Volume (A^3/atom): 18.16
ρ (Mg/m³): 5.2
ΔE_f (raw) (eV per atom): -2.855
Total energy (eV per atom): -6.821

***

No. 11
This record from the Alexandria database describes a relaxed Be3TeAu crystal. The functional is PBE.

Cell and atoms, written as CIF:
```
data_Be3TeAu
_chemical_formula_sum 'Be3 Te1 Au1'
_space_group_name_H-M_alt 'P m -3 m'
_space_group_IT_number 221
_space_group_name_Hall '-P 4 2 3'
_cell_length_a 4.4597
_cell_length_b 4.4597
_cell_length_c 4.4597
_cell_angle_alpha 90.00
_cell_angle_beta 90.00
_cell_angle_gamma 90.00
loop_
_atom_site_label
_atom_site_type_symbol
_atom_site_fract_x
_atom_site_fract_y
_atom_site_fract_z
Be1 Be 0.0000 0.0000 0.5000
Te1 Te 0.5000 0.5000 0.5000
Au1 Au 0.0000 0.0000 0.0000
```

Properties
Volume (A^3/atom): 17.74
ρ (Mg/m³): 6.6
ΔE_f (raw) (eV per atom): 0.536
Total energy (eV per atom): -2.984
Relative energy among the computed polymorphs (meV/atom): 0

***

No. 12
This record from the Alexandria database describes a relaxed Zr5Ir crystal. The functional is PBE.

Cell and atoms, written as CIF:
```
data_Zr5Ir
_chemical_formula_sum 'Zr20 Ir4'
_space_group_name_H-M_alt 'F -4 3 m'
_space_group_IT_number 216
_space_group_name_Hall 'F -4 2 3'
_cell_length_a 8.0015
_cell_length_b 8.0015
_cell_length_c 8.0015
_cell_angle_alpha 90.00
_cell_angle_beta 90.00
_cell_angle_gamma 90.00
loop_
_atom_site_label
_atom_site_type_symbol
_atom_site_fract_x
_atom_site_fract_y
_atom_site_fract_z
Zr1 Zr 0.0000 0.0000 0.0000
Zr2 Zr 0.1249 0.1249 0.6249
Ir1 Ir 0.2500 0.2500 0.2500
```

Properties
Volume (A^3/atom): 21.35
ρ (Mg/m³): 8.4
Total energy (eV per atom): -8.324
Relative energy among the computed polymorphs (meV/atom): 565